1.
{
  "formula": "Tb4PmZn",
  "functional": "PBE-GGA",
  "state": "optimized geometry",
  "space_group": "C2/c, No. 15",
  "final_energy_ev_per_atom": -4.09,
  "ef_ev_per_atom": -0.003,
  "lattice": [[4.443, -6.803, 0.000], [4.443, 6.803, 0.000], [-2.022, 0.000, 5.911]],
  "species": ["Tb", "Tb", "Tb", "Tb", "Tb", "Tb", "Tb", "Tb", "Pm", "Pm", "Zn", "Zn"],
  "fractional_positions": [[0.077, 0.715, 0.949], [0.165, 0.385, 0.628], [0.285, 0.923, 0.551], [0.385, 0.165, 0.128], [0.615, 0.835, 0.872], [0.715, 0.077, 0.449], [0.835, 0.615, 0.372], [0.923, 0.285, 0.051], [0.402, 0.598, 0.250], [0.598, 0.402, 0.750], [0.000, 0.000, 0.250], [0.000, 0.000, 0.750]]
}

=====

2.
{
  "formula": "TbPm3Zn",
  "functional": "PBE-GGA",
  "state": "optimized geometry",
  "space_group": "C2/m, No. 12",
  "final_energy_ev_per_atom": -3.97,
  "ef_ev_per_atom": 0.061,
  "lattice": [[5.986, -4.490, 0.000], [5.986, 4.490, 0.000], [-5.150, 0.000, 6.002]],
  "species": ["Tb", "Tb", "Pm", "Pm", "Pm", "Pm", "Pm", "Pm", "Zn", "Zn"],
  "fractional_positions": [[0.066, 0.066, 0.267], [0.934, 0.934, 0.733], [0.031, 0.415, 0.753], [0.415, 0.031, 0.753], [0.447, 0.447, 0.677], [0.553, 0.553, 0.323], [0.585, 0.969, 0.247], [0.969, 0.585, 0.247], [0.242, 0.242, 0.113], [0.758, 0.758, 0.887]]
}

=====

3.
{
  "formula": "TbPm2Zn6",
  "functional": "PBE-GGA",
  "state": "optimized geometry",
  "space_group": "P6/mmm, No. 191",
  "final_energy_ev_per_atom": -2.78,
  "ef_ev_per_atom": -0.364,
  "lattice": [[7.856, 0.000, 0.000], [-3.928, 6.803, 0.000], [0.000, 0.000, 3.569]],
  "species": ["Tb", "Pm", "Pm", "Zn", "Zn", "Zn", "Zn", "Zn", "Zn"],
  "fractional_positions": [[0.000, 0.000, 0.000], [0.333, 0.667, 0.000], [0.667, 0.333, 0.000], [0.000, 0.331, 0.500], [0.000, 0.669, 0.500], [0.331, 0.000, 0.500], [0.331, 0.331, 0.500], [0.669, 0.000, 0.500], [0.669, 0.669, 0.500]]
}

=====

4.
{
  "formula": "Tb6PmZn",
  "functional": "PBE-GGA",
  "state": "optimized geometry",
  "space_group": "R-3, No. 148",
  "final_energy_ev_per_atom": -4.19,
  "ef_ev_per_atom": 0.040,
  "lattice": [[4.665, 2.693, 3.257], [-4.665, 2.693, 3.257], [0.000, -5.386, 3.257]],
  "species": ["Tb", "Tb", "Tb", "Tb", "Tb", "Tb", "Pm", "Zn"],
  "fractional_positions": [[0.045, 0.764, 0.577], [0.236, 0.423, 0.955], [0.423, 0.955, 0.236], [0.577, 0.045, 0.764], [0.764, 0.577, 0.045], [0.955, 0.236, 0.423], [0.500, 0.500, 0.500], [0.000, 0.000, 0.000]]
}

=====

5.
{
  "formula": "Tb2PmZn6",
  "functional": "PBE-GGA",
  "state": "optimized geometry",
  "space_group": "P6/mmm, No. 191",
  "final_energy_ev_per_atom": -2.78,
  "ef_ev_per_atom": -0.371,
  "lattice": [[7.814, 0.000, 0.000], [-3.907, 6.767, 0.000], [0.000, 0.000, 3.544]],
  "species": ["Tb", "Tb", "Pm", "Zn", "Zn", "Zn", "Zn", "Zn", "Zn"],
  "fractional_positions": [[0.333, 0.667, 0.000], [0.667, 0.333, 0.000], [0.000, 0.000, 0.000], [0.000, 0.335, 0.500], [0.000, 0.665, 0.500], [0.335, 0.000, 0.500], [0.335, 0.335, 0.500], [0.665, 0.000, 0.500], [0.665, 0.665, 0.500]]
}

=====

6.
{
  "formula": "Tb3PmZn",
  "functional": "PBE-GGA",
  "state": "optimized geometry",
  "space_group": "C2/m, No. 12",
  "final_energy_ev_per_atom": -3.92,
  "ef_ev_per_atom": 0.059,
  "lattice": [[5.814, -4.218, 0.000], [5.814, 4.218, 0.000], [-4.438, 0.000, 6.419]],
  "species": ["Tb", "Tb", "Tb", "Tb", "Tb", "Tb", "Pm", "Pm", "Zn", "Zn"],
  "fractional_positions": [[0.047, 0.047, 0.307], [0.111, 0.515, 0.287], [0.485, 0.889, 0.713], [0.515, 0.111, 0.287], [0.889, 0.485, 0.713], [0.953, 0.953, 0.693], [0.418, 0.418, 0.729], [0.582, 0.582, 0.271], [0.265, 0.265, 0.937], [0.735, 0.735, 0.063]]
}

=====

7.
{
  "formula": "TbPm4Zn",
  "functional": "PBE-GGA",
  "state": "optimized geometry",
  "space_group": "Pm, No. 6",
  "final_energy_ev_per_atom": -3.78,
  "ef_ev_per_atom": 0.371,
  "lattice": [[5.209, 0.000, 0.000], [0.000, 5.206, 0.000], [-0.007, 0.000, 7.625]],
  "species": ["Tb", "Pm", "Pm", "Pm", "Pm", "Zn"],
  "fractional_positions": [[0.000, 0.000, 0.000], [0.000, 0.500, 0.272], [0.000, 0.500, 0.729], [0.500, 0.000, 0.271], [0.500, 0.000, 0.728], [0.501, 0.500, 0.500]]
}

=====

8.
{
  "formula": "Tb2Pm6Zn",
  "functional": "PBE-GGA",
  "state": "optimized geometry",
  "space_group": "P-62m, No. 189",
  "final_energy_ev_per_atom": -4.38,
  "ef_ev_per_atom": -0.046,
  "lattice": [[9.503, 0.000, 0.000], [-4.751, 8.230, 0.000], [0.000, 0.000, 3.681]],
  "species": ["Tb", "Tb", "Pm", "Pm", "Pm", "Pm", "Pm", "Pm", "Zn"],
  "fractional_positions": [[0.333, 0.667, 0.000], [0.667, 0.333, 0.000], [0.000, 0.381, 0.500], [0.000, 0.737, 0.000], [0.263, 0.263, 0.000], [0.381, 0.000, 0.500], [0.619, 0.619, 0.500], [0.737, 0.000, 0.000], [0.000, 0.000, 0.500]]
}

=====

9.
{
  "formula": "Tb6Pm2Zn",
  "functional": "PBE-GGA",
  "state": "optimized geometry",
  "space_group": "Pnnm, No. 58",
  "final_energy_ev_per_atom": -4.26,
  "ef_ev_per_atom": 0.024,
  "lattice": [[9.826, 0.000, 0.000], [0.000, 10.253, 0.000], [0.000, 0.000, 5.437]],
  "species": ["Tb", "Tb", "Tb", "Tb", "Tb", "Tb", "Tb", "Tb", "Tb", "Tb", "Tb", "Tb", "Pm", "Pm", "Pm", "Pm", "Zn", "Zn"],
  "fractional_positions": [[0.017, 0.189, 0.000], [0.134, 0.604, 0.500], [0.190, 0.928, 0.500], [0.310, 0.428, 0.000], [0.366, 0.104, 0.000], [0.483, 0.689, 0.500], [0.517, 0.311, 0.500], [0.634, 0.896, 0.000], [0.690, 0.572, 0.000], [0.810, 0.072, 0.500], [0.866, 0.396, 0.500], [0.983, 0.811, 0.000], [0.190, 0.253, 0.500], [0.310, 0.753, 0.000], [0.690, 0.247, 0.000], [0.810, 0.747, 0.500], [0.000, 0.500, 0.000], [0.500, 0.000, 0.500]]
}

=====

10.
{
  "formula": "Tb2Pm3Zn2",
  "functional": "PBE-GGA",
  "state": "optimized geometry",
  "space_group": "I4/mmm, No. 139",
  "final_energy_ev_per_atom": -3.90,
  "ef_ev_per_atom": -0.173,
  "lattice": [[-1.821, 1.821, 14.892], [1.821, -1.821, 14.892], [1.821, 1.821, -14.892]],
  "species": ["Tb", "Tb", "Pm", "Pm", "Pm", "Zn", "Zn"],
  "fractional_positions": [[0.209, 0.209, 0.000], [0.791, 0.791, 0.000], [0.378, 0.378, 0.000], [0.500, 0.500, 0.000], [0.622, 0.622, 0.000], [0.062, 0.062, 0.000], [0.938, 0.938, 0.000]]
}